# 1
Computed, not measured: an optimized crystal structure of TbAl4V at the PBE level of DFT.

Cell and atoms, written as POSCAR:
```
TbAl4V
1.0
-4.5973 0.2067 -2.6653
-4.3818 -2.1772 2.0836
-3.9455 3.1118 1.7412
Tb Al V
1 4 1
direct
0.2500 0.2500 0.2500
0.6255 0.6255 0.1236
0.6255 0.1236 0.6255
0.6255 0.6255 0.6255
0.1236 0.6255 0.6255
0.0000 0.0000 0.0000
```

As for the space-group type: F-43m (216). For the formation energy, the calculation gives -209 meV/atom. For the calculated density, the calculation gives 4.96 g cm⁻³.



# 2
Computed, not measured: an optimized crystal structure of LaZnInPd3 at the PBE level of DFT.

Cell and atoms, written as POSCAR:
```
LaZnInPd3
1.0
5.8232 0.0000 0.0000
0.0000 6.8814 0.0000
0.0000 -3.4407 6.3876
La Zn In Pd
2 2 2 6
direct
0.7500 0.3117 0.6234
0.2500 0.6883 0.3766
0.2500 0.3639 0.7279
0.7500 0.6361 0.2721
0.2500 0.9382 0.8765
0.7500 0.0618 0.1235
0.2500 0.1631 0.3263
0.0000 0.3034 0.0000
0.5000 0.6966 0.0000
0.5000 0.3034 0.0000
0.0000 0.6966 0.0000
0.7500 0.8369 0.6737
```

As for the space-group type: Cmcm (63). For the formation energy, the calculation gives -466 meV/atom. For the calculated density, the calculation gives 8.28 g cm⁻³.



# 3
Computed, not measured: an optimized crystal structure of Sr2Co2P at the PBE level of DFT.

Cell and atoms, written as POSCAR:
```
Sr2Co2P
1.0
-1.3231 0.5424 -3.1897
2.6522 -1.7920 -1.4049
-4.1564 -8.3037 -1.6034
Sr Co P
2 2 1
direct
0.3990 0.3990 0.2021
0.6010 0.6010 0.7979
0.7500 0.2500 0.5000
0.2500 0.7500 0.5000
0.0000 0.0000 0.0000
```

As for the space-group type: I4/mmm (139). For the formation energy, the calculation gives -42 meV/atom. For the calculated density, the calculation gives 4.84 g cm⁻³. Its distance to the lowest polymorph of the same formula is 0.000 eV/atom.



# 4
Computed, not measured: an optimized crystal structure of In2BiS at the PBE level of DFT.

Cell and atoms, written as POSCAR:
```
In2BiS
1.0
-3.4454 -2.2214 0.4399
-0.1113 -3.9111 -1.3002
1.1282 -4.3178 6.3543
S Bi In
1 1 2
direct
0.0000 0.0000 0.0000
0.5000 0.5000 0.5000
0.2599 0.2599 0.2202
0.7401 0.7401 0.7798
```

As for the space-group type: R-3m (166). As for the formation energy without anion corrections: -0.110 eV/atom. For the calculated density, the calculation gives 7.18 g cm⁻³. Its distance to the lowest polymorph of the same formula is 0.031 eV/atom.



# 5
Computed, not measured: an optimized crystal structure of NdSmY6Ho2 at the PBE level of DFT.

Cell and atoms, written as POSCAR:
```
NdSmY6Ho2
1.0
-4.5025 -6.7116 5.2801
4.8452 -5.8399 -4.4641
3.7730 3.8621 6.9539
Nd Sm Y Ho
2 2 12 4
direct
0.2500 0.4078 0.5922
0.7500 0.5922 0.4078
0.2500 0.9738 0.0262
0.7500 0.0262 0.9738
0.0567 0.1180 0.7524
0.4433 0.2476 0.8820
0.9433 0.8820 0.2476
0.5567 0.7524 0.1180
0.3185 0.9799 0.4307
0.1815 0.5693 0.0201
0.6815 0.0201 0.5693
0.8185 0.4307 0.9799
0.1174 0.7054 0.4904
0.3826 0.5096 0.2946
0.8826 0.2946 0.5096
0.6174 0.4904 0.7054
0.4526 0.8059 0.7048
0.0474 0.2952 0.1941
0.5474 0.1941 0.2952
0.9526 0.7048 0.8059
```

As for the space-group type: C2/c (15). For the formation energy, the calculation gives 121 meV/atom. For the calculated density, the calculation gives 5.83 g cm⁻³.



# 6
Computed, not measured: an optimized crystal structure of TbSm8Dy6 at the PBE level of DFT.

Cell and atoms, written as POSCAR:
```
TbSm8Dy6
1.0
-1.1586 -5.8842 -6.8458
-4.4587 -7.8070 1.4152
-7.8366 -1.4584 -3.4700
Tb Sm Dy
1 8 6
direct
0.0000 0.0000 0.0000
0.2515 0.2813 0.5790
0.7187 0.1119 0.4210
0.1119 0.7485 0.4210
0.5774 0.5774 0.2679
0.4226 0.4226 0.7321
0.8881 0.2515 0.5790
0.2813 0.8881 0.5790
0.7485 0.7187 0.4210
0.4610 0.9002 0.8812
0.0998 0.2423 0.1188
0.2423 0.5390 0.1188
0.7577 0.4610 0.8812
0.9002 0.7577 0.8812
0.5390 0.0998 0.1188
```

As for the space-group type: R-3 (148). For the formation energy, the calculation gives 125 meV/atom. For the calculated density, the calculation gives 7.81 g cm⁻³.



# 7
Computed, not measured: an optimized crystal structure of Rb2TbMgBr6 at the PBE level of DFT.

Cell and atoms, written as POSCAR:
```
Rb2TbMgBr6
1.0
8.1138 0.0022 0.0064
0.0022 8.1132 0.0064
4.0643 4.0641 5.7316
Rb Tb Mg Br
2 1 1 6
direct
0.7503 0.2502 0.4995
0.2498 0.7498 0.5005
0.0000 0.0000 0.0000
0.5000 0.5000 0.0000
0.2480 0.2480 0.5047
0.7533 0.7528 0.0003
0.2472 0.7532 0.0000
0.7528 0.2467 0.0000
0.2467 0.2472 0.9997
0.7520 0.7520 0.4953
```

As for the space-group type: C2/m (12). As for the formation energy without anion corrections: -1.549 eV/atom. For the calculated density, the calculation gives 3.67 g cm⁻³.



# 8
Computed, not measured: an optimized crystal structure of Ba5NdO6 at the PBE level of DFT.

Cell and atoms, written as POSCAR:
```
Ba5NdO6
1.0
-5.5679 2.1848 -3.0629
-2.9465 -5.1373 -3.2224
-4.5890 -3.7886 3.1826
Ba Nd O
5 1 6
direct
0.5000 0.1656 0.6687
0.0000 0.3328 0.3344
0.5000 0.5000 0.0000
0.0000 0.6672 0.6656
0.5000 0.8344 0.3313
0.0000 0.0000 0.0000
0.7729 0.0762 0.2981
0.2271 0.6257 0.2981
0.2329 0.2214 0.0000
0.7671 0.7786 0.0000
0.7729 0.3743 0.7019
0.2271 0.9238 0.7019
```

As for the space-group type: C2/m (12). As for the formation energy without anion corrections: -2.539 eV/atom. For the calculated density, the calculation gives 6.16 g cm⁻³.